Entry 1:
Below is an optimized crystal structure of Te2WN2, with properties calculated at the GGA-PBEsol level.

Lattice parameters (Å, degrees): 3.7694 5.3134 5.3134 90.00 90.00 90.00
Last column: nearest neighbours and their distance in Å.
Sites, in units of the cell vectors:
Te1 0.0000 0.0000 0.5000  2 W 2.66
Te2 0.0000 0.5000 0.0000  2 W 2.66
N1 0.5000 0.5000 0.5000  8 Te 3.26
N2 0.5000 0.0000 0.0000  2 W 1.88
W1 0.0000 0.0000 0.0000  2 N 1.88

Spin magnetization ... 0.381 μB per atom
DFT total energy ... -6.31 eV per atom
Energy relative to the elements, uncorrected ... 1271 meV/atom
Symmetry ... P4/mmm (123)

Entry 2:
Below is an optimized crystal structure of K2Sr2Ca, with properties calculated at the GGA-PBEsol level.

Lattice parameters (Å, degrees): 5.0755 5.0755 11.7064 102.52 102.52 90.00
Last column: nearest neighbours and their distance in Å.
Sites, in units of the cell vectors:
Sr1 0.5885 0.5885 0.1769  1 Sr 3.94, 4 Ca 4.09, 4 K 4.40
Sr2 0.4115 0.4115 0.8231  1 Sr 3.94, 4 Ca 4.09, 4 K 4.40
K1 0.2500 0.7500 0.5000  4 K 3.59
K2 0.7500 0.2500 0.5000  4 K 3.59
Ca1 0.0000 0.0000 0.0000  8 Sr 4.09

ΔE_f ... 0.27 eV/atom
Spin magnetization ... 0.001 μB per atom
DFT total energy ... -1.35 eV per atom
Symmetry ... I4/mmm (139)

Entry 3:
Below is an optimized crystal structure of CoSbOs2, with properties calculated at the GGA-PBEsol level.

Lattice parameters (Å, degrees): 2.8414 3.7161 5.5296 90.00 90.00 90.00
Last column: nearest neighbours and their distance in Å.
Sites, in units of the cell vectors:
Sb1 0.0000 0.0000 0.5225  6 Os 2.65-2.88, 4 Co 2.68, 2 Sb 2.84
Os1 0.0000 0.0000 0.0024  6 Os 2.62-2.84, 2 Sb 2.65-2.88, 4 Co 2.70
Os2 0.5000 0.5000 0.2176  1 Co 2.54, 6 Os 2.62-2.84
Co1 0.5000 0.5000 0.7575  5 Os 2.54-2.70, 4 Sb 2.68, 2 Co 2.84

Spin magnetization ... 0.000 μB per atom
DFT total energy ... -8.75 eV per atom
Energy relative to the elements, uncorrected ... 428 meV/atom
Symmetry ... Pmm2 (25)

- Look up the DFT total energy of the third one.
  -8.75 eV per atom

- Which of these has the lowest DFT total energy?
  CoSbOs2

- Which of these has the highest spin magnetization?
  Te2WN2